TmMgTlCu: optimized geometry, PBE.

The value obtained for the total moment is 0.0 μB per formula unit. The value obtained for the total energy is -53.041 eV for the cell shown.

The structure belongs to space group F-43m (No. 216); the cell edges are 6.9792, 6.9792 and 6.9792 Å and the angles 90.00°, 90.00° and 90.00°. Symmetry generates all atoms from Tm at (0.0000, 0.0000, 0.0000), Mg at (0.0000, 0.0000, 0.5000), Tl at (0.2500, 0.2500, 0.7500) and Cu at (0.2500, 0.2500, 0.2500).

***

MgTl2CuW: optimized geometry, PBE.

The value obtained for the total moment is 3.9 μB per formula unit. The value obtained for the total energy is -15.352 eV for the cell shown.

The structure belongs to space group P4/mmm (No. 123); the cell edges are 5.3473, 5.3473 and 4.6756 Å and the angles 90.00°, 90.00° and 90.00°. Symmetry generates all atoms from Mg at (0.0000, 0.0000, 0.0000), Tl at (0.0000, 0.5000, 0.0000), Cu at (0.0000, 0.0000, 0.5000) and W at (0.5000, 0.5000, 0.5000).

***

MgZrTlCu2: optimized geometry, PBE.

The value obtained for the total moment is 0.8 μB per formula unit. The energy above the lowest structure with this stoichiometry is 0.0692 eV/atom.

The structure belongs to space group P4/mmm (No. 123); the cell edges are 4.9805, 4.9805 and 5.7562 Å and the angles 90.00°, 90.00° and 90.00°. Symmetry generates all atoms from Mg at (0.0000, 0.0000, 0.0000), Zr at (0.0000, 0.0000, 0.5000), Tl at (0.5000, 0.5000, 0.0000) and Cu at (0.0000, 0.5000, 0.5000).

***

MgZrTlCu2: optimized geometry, PBE.

The value obtained for the total moment is 0.0 μB per formula unit. The energy above the lowest structure with this stoichiometry is 0.0000 eV/atom.

The structure belongs to space group P4/mmm (No. 123); the cell edges are 4.9660, 4.9660 and 5.6363 Å and the angles 90.00°, 90.00° and 90.00°. Symmetry generates all atoms from Mg at (0.0000, 0.0000, 0.0000), Zr at (0.5000, 0.5000, 0.5000), Tl at (0.5000, 0.5000, 0.0000) and Cu at (0.0000, 0.5000, 0.5000).

***

MgZrTlCu: optimized geometry, PBE.

The value obtained for the total moment is 0.0 μB per formula unit. The value obtained for the total energy is -66.143 eV for the cell shown.

The structure belongs to space group F-43m (No. 216); the cell edges are 6.8274, 6.8274 and 6.8274 Å and the angles 90.00°, 90.00° and 90.00°. Symmetry generates all atoms from Mg at (0.0000, 0.0000, 0.0000), Zr at (0.0000, 0.0000, 0.5000), Tl at (0.2500, 0.2500, 0.2500) and Cu at (0.2500, 0.2500, 0.7500).

***

Tm4MgCu5: optimized geometry, PBE.

The value obtained for the total moment is 0.0 μB per formula unit. The value obtained for the total energy is -42.378 eV for the cell shown.

The structure belongs to space group P4/mmm (No. 123); the cell edges are 3.3582, 3.3582 and 17.0163 Å and the angles 90.00°, 90.00° and 90.00°. Symmetry generates all atoms from Tm at (0.0000, 0.0000, 0.1026), Tm at (0.0000, 0.0000, 0.3080), Mg at (0.0000, 0.0000, 0.5000), Cu at (0.5000, 0.5000, 0.0000), Cu at (0.5000, 0.5000, 0.2054) and Cu at (0.5000, 0.5000, 0.4094).

***

Tm4MgCu: optimized geometry, PBE.

The value obtained for the total moment is 0.0 μB per formula unit. The energy above the lowest structure with this stoichiometry is 0.3281 eV/atom.

The structure belongs to space group P4/mmm (No. 123); the cell edges are 4.8114, 4.8114 and 7.5414 Å and the angles 90.00°, 90.00° and 90.00°. Symmetry generates all atoms from Tm at (0.0000, 0.5000, 0.2147), Mg at (0.0000, 0.0000, 0.5000) and Cu at (0.5000, 0.5000, 0.0000).

***

TmMg8Cu4: optimized geometry, PBE.

The value obtained for the total moment is 0.0 μB per formula unit. The value obtained for the total energy is -69.539 eV for the cell shown.

The structure belongs to space group I4/mmm (No. 139); the cell edges are 9.5068, 9.5068 and 5.3583 Å and the angles 90.00°, 90.00° and 90.00°. Symmetry generates all atoms from Tm at (0.0000, 0.0000, 0.0000), Mg at (0.0000, 0.2147, 0.5000), Mg at (0.0000, 0.3406, 0.0000) and Cu at (0.2500, 0.2500, 0.2500).

***

Tm2MgCu6: optimized geometry, PBE.

The value obtained for the total moment is 0.0 μB per formula unit. The value obtained for the total energy is -72.992 eV for the cell shown.

The structure belongs to space group C2/m (No. 12); the cell edges are 9.8413, 5.6714 and 5.3750 Å and the angles 90.00°, 90.02° and 90.00°. Symmetry generates all atoms from Tm at (0.1666, 0.0000, 0.1561), Mg at (0.0000, 0.5000, 0.0000), Cu at (0.0934, 0.2201, 0.6566) and Cu at (0.1871, 0.5000, 0.3428).

***

TmMgCu5: optimized geometry, PBE.

The value obtained for the total moment is 0.0 μB per formula unit. The value obtained for the total energy is -111.752 eV for the cell shown.

The structure belongs to space group Pnma (No. 62); the cell edges are 8.1870, 5.0095 and 10.4088 Å and the angles 90.00°, 90.00° and 90.00°. Symmetry generates all atoms from Tm at (0.2495, 0.2500, 0.0603), Mg at (0.1364, 0.7500, 0.8614), Cu at (0.0516, 0.7500, 0.1022), Cu at (0.0679, 0.0051, 0.3121), Cu at (0.0885, 0.2500, 0.5173) and Cu at (0.1871, 0.2500, 0.7437).

***

Tm2MgCu3: optimized geometry, PBE.

The value obtained for the total moment is 0.0 μB per formula unit. The energy above the lowest structure with this stoichiometry is 0.0238 eV/atom.

The structure belongs to space group P4/mmm (No. 123); the cell edges are 3.3447, 3.3447 and 10.0266 Å and the angles 90.00°, 90.00° and 90.00°. Symmetry generates all atoms from Tm at (0.0000, 0.0000, 0.1738), Mg at (0.0000, 0.0000, 0.5000), Cu at (0.5000, 0.5000, 0.0000) and Cu at (0.5000, 0.5000, 0.3467).

***

TmMg2Cu: optimized geometry, PBE.

The value obtained for the total moment is 0.0 μB per formula unit. The value obtained for the total energy is -11.890 eV for the cell shown.

The structure belongs to space group P4/mmm (No. 123); the cell edges are 3.2930, 3.2930 and 7.7776 Å and the angles 90.00°, 90.00° and 90.00°. Symmetry generates all atoms from Tm at (0.0000, 0.0000, 0.0000), Mg at (0.5000, 0.5000, 0.3062) and Cu at (0.0000, 0.0000, 0.5000).